# 1
This record from Alexandria describes a geometry-optimized La2ZnCo3 structure. The functional is PBE.

a b c (Å): 3.992 7.103 15.817
angles (deg): 90.00 90.00 90.00
Each line ends with the local moment (μB).
Fractional coordinates of all 24 atoms:
La: 0.250 0.655 0.560  0.12
La: 0.750 0.845 0.060  0.12
La: 0.250 0.155 0.940  0.12
La: 0.750 0.345 0.440  0.12
La: 0.250 0.499 0.773  0.09
La: 0.750 0.001 0.273  0.09
La: 0.250 0.999 0.727  0.09
La: 0.750 0.501 0.227  0.09
Zn: 0.250 0.003 0.438  0.03
Zn: 0.750 0.497 0.938  0.03
Zn: 0.250 0.503 0.062  0.03
Zn: 0.750 0.997 0.562  0.03
Co: 0.250 0.734 0.917  -1.09
Co: 0.750 0.766 0.417  -1.09
Co: 0.250 0.234 0.583  -1.09
Co: 0.750 0.266 0.083  -1.09
Co: 0.250 0.171 0.142  -1.45
Co: 0.750 0.329 0.642  -1.45
Co: 0.250 0.671 0.358  -1.45
Co: 0.750 0.829 0.858  -1.45
Co: 0.250 0.796 0.183  -0.37
Co: 0.750 0.704 0.683  -0.37
Co: 0.250 0.296 0.317  -0.37
Co: 0.750 0.204 0.817  -0.37

Properties
Total magnetization = 9.54 μB per cell
D(E_F) = 0.902 states/eV/atom
Electronic total energy = -5.49 eV per atom
Calculated volume = 18.69 Å³ per atom

# 2
This record from Alexandria describes a geometry-optimized Tm2Mg2Zn15 structure. The functional is PBE.

a b c (Å): 6.847 6.847 6.847
angles (deg): 82.53 82.53 82.53
Fractional coordinates of all 19 atoms:
Tm: 0.344 0.344 0.344
Tm: 0.656 0.656 0.656
Mg: 0.105 0.105 0.105
Mg: 0.895 0.895 0.895
Zn: 0.500 0.000 0.000
Zn: 0.000 0.000 0.500
Zn: 0.000 0.500 0.000
Zn: 0.000 0.701 0.299
Zn: 0.701 0.299 0.000
Zn: 0.299 0.000 0.701
Zn: 0.299 0.701 0.000
Zn: 0.701 0.000 0.299
Zn: 0.000 0.299 0.701
Zn: 0.162 0.644 0.644
Zn: 0.644 0.644 0.162
Zn: 0.644 0.162 0.644
Zn: 0.838 0.356 0.356
Zn: 0.356 0.356 0.838
Zn: 0.356 0.838 0.356

Properties
Total magnetization = 0.00 μB per cell
D(E_F) = 0.212 states/eV/atom
Electronic total energy = -1.85 eV per atom
Calculated volume = 16.49 Å³ per atom